PaBeTlO5: relaxed, GGA-PBE.

a b c (Å): 5.6224 5.6224 8.1157
angles (deg): 105.18 105.18 101.89
Element x y z (fractional)
Pa  0.0000  0.0000  0.0000
Pa  0.0000  0.0000  0.5000
Be  0.3118  0.6882  0.7500
Be  0.6882  0.3118  0.2500
Tl  0.3620  0.6380  0.2500
Tl  0.6380  0.3620  0.7500
O  0.0915  0.6946  0.8500
O  0.1226  0.8774  0.2500
O  0.2696  0.4009  0.5990
O  0.3054  0.9085  0.6500
O  0.4009  0.2696  0.0990
O  0.5991  0.7304  0.9010
O  0.6946  0.0915  0.3500
O  0.7304  0.5991  0.4010
O  0.8774  0.1226  0.7500
O  0.9085  0.3054  0.1500

Space-group type: C2/c, No. 15
Calculated density (Mg/m³): 7.6
Uncorrected energy (eV/atom): -7.352